(1)
Here is DyPdPtRh after structural relaxation from Alexandria via LeMat-Bulk. Energies are from PBE-GGA.

Properties
Magnetization in μB/f.u.: 0.000
E in eV/atom: -6.4039
Space group: F-43m (216)

abc: 4.6264 4.6264 4.6264
angles: 60.00 60.00 60.00
With the nearest neighbours (Å) after each atom.
Fractional positions:
Dy 0.0000 0.0000 0.0000  4 Rh 2.83, 4 Pd 2.83
Pd 0.2500 0.2500 0.2500  4 Dy 2.83, 4 Pt 2.83
Pt 0.5000 0.5000 0.5000  4 Rh 2.83, 4 Pd 2.83
Rh 0.7500 0.7500 0.7500  4 Dy 2.83, 4 Pt 2.83

(2)
Here is DySbPdPt after structural relaxation from Alexandria via LeMat-Bulk. Energies are from PBE-GGA.

Properties
Formation energy (no corrections) in eV/atom: -0.85
Magnetization in μB/f.u.: 0.000
E in eV/atom: -5.8397
Space group: F-43m (216)

abc: 4.8289 4.8289 4.8289
angles: 60.00 60.00 60.00
With the nearest neighbours (Å) after each atom.
Fractional positions:
Dy 0.0000 0.0000 0.0000  4 Pd 2.96, 4 Pt 2.96
Sb 0.5000 0.5000 0.5000  4 Pd 2.96, 4 Pt 2.96
Pd 0.7500 0.7500 0.7500  4 Dy 2.96, 4 Sb 2.96
Pt 0.2500 0.2500 0.2500  4 Dy 2.96, 4 Sb 2.96

(3)
Here is Dy2Si3PdPt12 after structural relaxation from Alexandria via LeMat-Bulk. Energies are from PBE-GGA.

Properties
Formation energy (no corrections) in eV/atom: -0.43
Magnetization in μB/f.u.: 0.000
E in eV/atom: -6.1639
Space group: R-3m (166)

abc: 7.5578 7.5578 7.5578
angles: 66.24 66.24 66.24
With the nearest neighbours (Å) after each atom.
Fractional positions:
Dy 0.1073 0.1073 0.1073  6 Pt 2.81-2.86
Dy 0.8927 0.8927 0.8927  6 Pt 2.81-2.86
Si 0.0000 0.5000 0.5000  6 Pt 2.32-2.38
Si 0.5000 0.0000 0.5000  6 Pt 2.32-2.38
Si 0.5000 0.5000 0.0000  6 Pt 2.32-2.38
Pd 0.5000 0.5000 0.5000  6 Pt 2.57
Pt 0.1156 0.6396 0.6396  1 Si 2.32, 1 Pd 2.57
Pt 0.1432 0.1432 0.6044  2 Si 2.38
Pt 0.1432 0.6044 0.1432  2 Si 2.38
Pt 0.3604 0.3604 0.8844  1 Si 2.32, 1 Pd 2.57
Pt 0.3604 0.8844 0.3604  1 Si 2.32, 1 Pd 2.57
Pt 0.3956 0.8568 0.8568  2 Si 2.38
Pt 0.6044 0.1432 0.1432  2 Si 2.38
Pt 0.6396 0.1156 0.6396  1 Si 2.32, 1 Pd 2.57
Pt 0.6396 0.6396 0.1156  1 Si 2.32, 1 Pd 2.57
Pt 0.8568 0.3956 0.8568  2 Si 2.38
Pt 0.8568 0.8568 0.3956  2 Si 2.38
Pt 0.8844 0.3604 0.3604  1 Si 2.32, 1 Pd 2.57

(4)
Here is Dy2SiPd2Pt4 after structural relaxation from Alexandria via LeMat-Bulk. Energies are from PBE-GGA.

Properties
Formation energy (no corrections) in eV/atom: -0.99
Magnetization in μB/f.u.: 0.000
E in eV/atom: -6.4565
Space group: I4/mmm (139)

abc: 6.1096 6.1096 6.1096
angles: 119.56 119.56 90.77
With the nearest neighbours (Å) after each atom.
Fractional positions:
Dy 0.2500 0.7500 0.5000  8 Pt 3.06, 4 Pd 3.08
Dy 0.7500 0.2500 0.5000  8 Pt 3.06, 4 Pd 3.08
Si 0.0000 0.0000 0.0000  4 Pt 2.33, 2 Pd 2.34
Pd 0.2724 0.2724 0.0000  1 Si 2.34
Pd 0.7276 0.7276 0.0000  1 Si 2.34
Pt 0.2679 0.2679 0.5357  1 Si 2.33
Pt 0.2679 0.7321 0.0000  1 Si 2.33
Pt 0.7321 0.2679 0.0000  1 Si 2.33
Pt 0.7321 0.7321 0.4643  1 Si 2.33

Question: What is the E in the fourth record?
Answer: -6.4565 eV/atom